[1]
DFT (PBE) results for a relaxed structure of RbB2As2.

* energy of formation: 0.703 eV per atom

Unit cell a=4.4196 b=4.4196 c=8.3883 alpha=90.00 beta=90.00 gamma=90.00
Space group I4/mmm (No. 139)
Asymmetric unit:
Rb (0.0000, 0.0000, 0.0000) x2
B (0.0000, 0.0000, 0.3899) x4
As (0.0000, 0.5000, 0.2500) x4



[2]
DFT (PBE) results for a relaxed structure of Rb2BAs.

* energy of formation: 1.019 eV per atom

Unit cell a=8.0229 b=8.0229 c=8.0229 alpha=90.00 beta=90.00 gamma=90.00
Space group Fm-3m (No. 225)
Asymmetric unit:
Rb (0.2500, 0.2500, 0.2500) x8
B (0.0000, 0.0000, 0.0000) x4
As (0.0000, 0.0000, 0.5000) x4



[3]
DFT (PBE) results for a relaxed structure of RbReB2As.

* energy of formation: 2.097 eV per atom

Unit cell a=4.5656 b=4.5656 c=4.8222 alpha=90.00 beta=90.00 gamma=90.00
Space group P4/mmm (No. 123)
Asymmetric unit:
Rb (0.0000, 0.0000, 0.0000) x1
Re (0.5000, 0.5000, 0.0000) x1
B (0.0000, 0.5000, 0.5000) x2
As (0.5000, 0.5000, 0.5000) x1



[4]
DFT (PBE) results for a relaxed structure of RbBAs2Se.

* ΔE_f (raw): 1.258 eV/atom

Unit cell a=5.0910 b=5.0910 c=6.1488 alpha=90.00 beta=90.00 gamma=90.00
Space group P4/mmm (No. 123)
Asymmetric unit:
Rb (0.0000, 0.0000, 0.0000) x1
B (0.5000, 0.5000, 0.0000) x1
As (0.0000, 0.5000, 0.5000) x2
Se (0.0000, 0.0000, 0.5000) x1



[5]
DFT (PBE) results for a relaxed structure of RbBAs2Se.

* ΔE_f (raw): 2.360 eV/atom

Unit cell a=5.7711 b=5.7711 c=5.8841 alpha=90.00 beta=90.00 gamma=90.00
Space group P4/mmm (No. 123)
Asymmetric unit:
Rb (0.0000, 0.0000, 0.0000) x1
B (0.5000, 0.5000, 0.5000) x1
As (0.0000, 0.5000, 0.0000) x2
Se (0.0000, 0.0000, 0.5000) x1



[6]
DFT (PBE) results for a relaxed structure of RbBAsSe2.

* ΔE_f (raw): 2.108 eV/atom

Unit cell a=6.0729 b=6.0729 c=6.3115 alpha=90.00 beta=90.00 gamma=90.00
Space group P4/mmm (No. 123)
Asymmetric unit:
Rb (0.0000, 0.0000, 0.0000) x1
B (0.5000, 0.5000, 0.5000) x1
As (0.0000, 0.0000, 0.5000) x1
Se (0.0000, 0.5000, 0.0000) x2



[7]
DFT (PBE) results for a relaxed structure of RbBAs2Se.

* ΔE_f (raw): 0.527 eV/atom

Unit cell a=4.5974 b=4.5974 c=5.1387 alpha=90.00 beta=90.00 gamma=90.00
Space group P4/mmm (No. 123)
Asymmetric unit:
Rb (0.0000, 0.0000, 0.0000) x1
B (0.5000, 0.5000, 0.5000) x1
As (0.0000, 0.5000, 0.5000) x2
Se (0.5000, 0.5000, 0.0000) x1



[8]
DFT (PBE) results for a relaxed structure of RbBAsSe2.

* ΔE_f (raw): 0.353 eV/atom

Unit cell a=5.0893 b=5.0893 c=4.2739 alpha=90.00 beta=90.00 gamma=90.00
Space group P4/mmm (No. 123)
Asymmetric unit:
Rb (0.0000, 0.0000, 0.0000) x1
B (0.5000, 0.5000, 0.5000) x1
As (0.5000, 0.5000, 0.0000) x1
Se (0.0000, 0.5000, 0.5000) x2